{
  "formula": "Y3Mg2",
  "functional": "GGA-PBE",
  "state": "optimized geometry",
  "delta_e_f_ev_per_fu": 0.11,
  "density_g_cm3": 3.5,
  "lattice_angstrom": [[8.711, 0.000, 0.000], [0.000, 8.711, 0.000], [0.000, 0.000, 7.809]],
  "species": ["Y", "Y", "Y", "Y", "Y", "Y", "Y", "Y", "Y", "Y", "Y", "Y", "Mg", "Mg", "Mg", "Mg", "Mg", "Mg", "Mg", "Mg"],
  "fractional_positions": [[0.000, 0.500, 0.250], [0.000, 0.500, 0.750], [0.147, 0.147, 0.000], [0.204, 0.204, 0.500], [0.296, 0.704, 0.000], [0.353, 0.647, 0.500], [0.500, 0.000, 0.250], [0.500, 0.000, 0.750], [0.647, 0.353, 0.500], [0.704, 0.296, 0.000], [0.796, 0.796, 0.500], [0.853, 0.853, 0.000], [0.123, 0.877, 0.308], [0.123, 0.877, 0.692], [0.377, 0.377, 0.192], [0.377, 0.377, 0.808], [0.623, 0.623, 0.192], [0.623, 0.623, 0.808], [0.877, 0.123, 0.308], [0.877, 0.123, 0.692]]
}

{
  "formula": "Y3Mg2",
  "functional": "GGA-PBE",
  "state": "optimized geometry",
  "delta_e_f_ev_per_fu": 0.08,
  "density_g_cm3": 3.5,
  "lattice_angstrom": [[1.781, 1.028, 13.532], [-1.781, 1.028, 13.532], [0.000, -2.057, 13.532]],
  "species": ["Y", "Y", "Y", "Mg", "Mg"],
  "fractional_positions": [[0.000, 0.000, 0.000], [0.202, 0.202, 0.202], [0.798, 0.798, 0.798], [0.399, 0.399, 0.399], [0.601, 0.601, 0.601]]
}

{
  "formula": "YMg",
  "functional": "GGA-PBE",
  "state": "optimized geometry",
  "delta_e_f_ev_per_fu": 0.03,
  "density_g_cm3": 3.3,
  "lattice_angstrom": [[6.438, -1.776, 0.000], [6.438, 1.776, 0.000], [-2.025, 0.000, 7.439]],
  "species": ["Y", "Y", "Y", "Mg", "Mg", "Mg"],
  "fractional_positions": [[0.000, 0.000, 0.000], [0.287, 0.287, 0.077], [0.619, 0.619, 0.724], [0.338, 0.338, 0.657], [0.669, 0.669, 0.335], [0.948, 0.948, 0.406]]
}

{
  "formula": "Y3Mg",
  "functional": "GGA-PBE",
  "state": "optimized geometry",
  "delta_e_f_ev_per_fu": 0.16,
  "density_g_cm3": 3.9,
  "lattice_angstrom": [[3.579, 0.000, 0.000], [-1.789, 3.099, 0.000], [0.000, 0.000, 11.149]],
  "species": ["Y", "Y", "Y", "Mg"],
  "fractional_positions": [[0.000, 0.000, 0.000], [0.667, 0.333, 0.256], [0.667, 0.333, 0.744], [0.000, 0.000, 0.500]]
}

{
  "formula": "Y3Mg2",
  "functional": "GGA-PBE",
  "state": "optimized geometry",
  "delta_e_f_ev_per_fu": 0.04,
  "density_g_cm3": 3.6,
  "lattice_angstrom": [[0.000, 8.171, 3.100], [5.706, 0.000, 3.100], [5.706, 8.171, 0.000]],
  "species": ["Y", "Y", "Y", "Y", "Y", "Y", "Mg", "Mg", "Mg", "Mg"],
  "fractional_positions": [[0.000, 0.000, 0.000], [0.250, 0.250, 0.250], [0.369, 0.649, 0.430], [0.649, 0.369, 0.552], [0.698, 0.820, 0.601], [0.820, 0.698, 0.881], [0.111, 0.471, 0.982], [0.268, 0.815, 0.139], [0.471, 0.111, 0.435], [0.815, 0.268, 0.779]]
}

{
  "formula": "Y4Mg25",
  "functional": "GGA-PBE",
  "state": "optimized geometry",
  "delta_e_f_ev_per_fu": -1.36,
  "density_g_cm3": 2.3,
  "lattice_angstrom": [[7.913, 4.569, 3.267], [-7.913, 4.569, 3.267], [0.000, -9.138, 3.267]],
  "species": ["Y", "Y", "Y", "Y", "Mg", "Mg", "Mg", "Mg", "Mg", "Mg", "Mg", "Mg", "Mg", "Mg", "Mg", "Mg", "Mg", "Mg", "Mg", "Mg", "Mg", "Mg", "Mg", "Mg", "Mg", "Mg", "Mg", "Mg", "Mg"],
  "fractional_positions": [[0.000, 0.000, 0.000], [0.001, 0.001, 0.625], [0.001, 0.625, 0.001], [0.625, 0.001, 0.001], [0.184, 0.809, 0.809], [0.188, 0.369, 0.998], [0.188, 0.998, 0.369], [0.294, 0.606, 0.606], [0.322, 0.322, 0.711], [0.322, 0.711, 0.322], [0.355, 0.355, 0.355], [0.369, 0.188, 0.998], [0.369, 0.998, 0.188], [0.391, 0.672, 0.999], [0.391, 0.999, 0.672], [0.606, 0.294, 0.606], [0.606, 0.606, 0.294], [0.632, 0.632, 0.825], [0.632, 0.825, 0.632], [0.672, 0.391, 0.999], [0.672, 0.999, 0.391], [0.711, 0.322, 0.322], [0.809, 0.184, 0.809], [0.809, 0.809, 0.184], [0.825, 0.632, 0.632], [0.998, 0.188, 0.369], [0.998, 0.369, 0.188], [0.999, 0.391, 0.672], [0.999, 0.672, 0.391]]
}

{
  "formula": "YMg",
  "functional": "GGA-PBE",
  "state": "optimized geometry",
  "delta_e_f_ev_per_fu": 0.03,
  "density_g_cm3": 3.4,
  "lattice_angstrom": [[-2.357, 2.357, 5.009], [2.357, -2.357, 5.009], [2.357, 2.357, -5.009]],
  "species": ["Y", "Y", "Mg", "Mg"],
  "fractional_positions": [[0.375, 0.625, 0.750], [0.625, 0.375, 0.250], [0.125, 0.875, 0.250], [0.875, 0.125, 0.750]]
}

{
  "formula": "YMg",
  "functional": "GGA-PBE",
  "state": "optimized geometry",
  "delta_e_f_ev_per_fu": -0.07,
  "density_g_cm3": 3.4,
  "lattice_angstrom": [[5.594, -2.589, 0.000], [5.594, 2.589, 0.000], [-3.272, 0.000, 5.762]],
  "species": ["Y", "Y", "Y", "Mg", "Mg", "Mg"],
  "fractional_positions": [[0.000, 0.000, 0.000], [0.349, 0.349, 0.187], [0.651, 0.651, 0.813], [0.000, 0.000, 0.500], [0.309, 0.309, 0.655], [0.691, 0.691, 0.345]]
}

{
  "formula": "Y7Mg",
  "functional": "GGA-PBE",
  "state": "optimized geometry",
  "delta_e_f_ev_per_fu": 0.21,
  "density_g_cm3": 4.3,
  "lattice_angstrom": [[0.000, 5.003, 5.003], [5.003, 0.000, 5.003], [5.003, 5.003, 0.000]],
  "species": ["Y", "Y", "Y", "Y", "Y", "Y", "Y", "Mg"],
  "fractional_positions": [[0.000, 0.000, 0.000], [0.000, 0.000, 0.500], [0.000, 0.500, 0.000], [0.000, 0.500, 0.500], [0.500, 0.000, 0.000], [0.500, 0.000, 0.500], [0.500, 0.500, 0.000], [0.500, 0.500, 0.500]]
}

{
  "formula": "YMg",
  "functional": "GGA-PBE",
  "state": "optimized geometry",
  "delta_e_f_ev_per_fu": -0.09,
  "density_g_cm3": 3.4,
  "lattice_angstrom": [[3.417, 0.000, 0.000], [0.000, 5.150, 0.000], [-1.707, 0.000, 6.365]],
  "species": ["Y", "Y", "Mg", "Mg"],
  "fractional_positions": [[0.172, 0.250, 0.344], [0.828, 0.750, 0.656], [0.437, 0.250, 0.870], [0.563, 0.750, 0.130]]
}

{
  "formula": "Y3Mg7",
  "functional": "GGA-PBE",
  "state": "optimized geometry",
  "delta_e_f_ev_per_fu": -0.76,
  "density_g_cm3": 2.8,
  "lattice_angstrom": [[8.274, -2.547, 0.000], [8.274, 2.547, 0.000], [-2.271, 0.000, 6.088]],
  "species": ["Y", "Y", "Y", "Mg", "Mg", "Mg", "Mg", "Mg", "Mg", "Mg"],
  "fractional_positions": [[0.000, 0.000, 0.000], [0.205, 0.205, 0.792], [0.795, 0.795, 0.208], [0.000, 0.000, 0.500], [0.199, 0.199, 0.298], [0.393, 0.393, 0.618], [0.408, 0.408, 0.136], [0.592, 0.592, 0.864], [0.607, 0.607, 0.382], [0.801, 0.801, 0.702]]
}

{
  "formula": "YMg",
  "functional": "GGA-PBE",
  "state": "optimized geometry",
  "delta_e_f_ev_per_fu": 2.26,
  "density_g_cm3": 1.8,
  "lattice_angstrom": [[-4.680, 4.680, 4.680], [4.680, -4.680, 4.680], [4.680, 4.680, -4.680]],
  "species": ["Y", "Y", "Y", "Y", "Mg", "Mg", "Mg", "Mg"],
  "fractional_positions": [[0.000, 0.000, 0.401], [0.000, 0.401, 0.000], [0.401, 0.000, 0.000], [0.599, 0.599, 0.599], [0.000, 0.000, 0.775], [0.000, 0.775, 0.000], [0.225, 0.225, 0.225], [0.775, 0.000, 0.000]]
}

{
  "formula": "Y3Mg",
  "functional": "GGA-PBE",
  "state": "optimized geometry",
  "delta_e_f_ev_per_fu": 0.07,
  "density_g_cm3": 3.9,
  "lattice_angstrom": [[1.777, 1.026, 11.196], [-1.777, 1.026, 11.196], [0.000, -2.052, 11.196]],
  "species": ["Y", "Y", "Y", "Mg"],
  "fractional_positions": [[0.000, 0.000, 0.000], [0.246, 0.246, 0.246], [0.754, 0.754, 0.754], [0.500, 0.500, 0.500]]
}

{
  "formula": "Y3Mg",
  "functional": "GGA-PBE",
  "state": "optimized geometry",
  "delta_e_f_ev_per_fu": 0.08,
  "density_g_cm3": 4.0,
  "lattice_angstrom": [[4.938, 0.000, 0.000], [0.000, 4.938, 0.000], [0.000, 0.000, 4.938]],
  "species": ["Y", "Y", "Y", "Mg"],
  "fractional_positions": [[0.000, 0.000, 0.500], [0.000, 0.500, 0.000], [0.500, 0.000, 0.000], [0.500, 0.500, 0.500]]
}

{
  "formula": "YMg",
  "functional": "GGA-PBE",
  "state": "optimized geometry",
  "delta_e_f_ev_per_fu": -0.22,
  "density_g_cm3": 3.4,
  "lattice_angstrom": [[3.803, 0.000, 0.000], [0.000, 3.803, 0.000], [0.000, 0.000, 3.803]],
  "species": ["Y", "Mg"],
  "fractional_positions": [[0.000, 0.000, 0.000], [0.500, 0.500, 0.500]]
}

{
  "formula": "Y4Mg3",
  "functional": "GGA-PBE",
  "state": "optimized geometry",
  "delta_e_f_ev_per_fu": -0.33,
  "density_g_cm3": 3.6,
  "lattice_angstrom": [[-1.761, 1.761, 16.114], [1.761, -1.761, 16.114], [1.761, 1.761, -16.114]],
  "species": ["Y", "Y", "Y", "Y", "Mg", "Mg", "Mg"],
  "fractional_positions": [[0.070, 0.070, 0.000], [0.351, 0.351, 0.000], [0.649, 0.649, 0.000], [0.930, 0.930, 0.000], [0.221, 0.221, 0.000], [0.500, 0.500, 0.000], [0.779, 0.779, 0.000]]
}

{
  "formula": "Y3Mg4",
  "functional": "GGA-PBE",
  "state": "optimized geometry",
  "delta_e_f_ev_per_fu": 0.35,
  "density_g_cm3": 3.1,
  "lattice_angstrom": [[2.669, 1.541, 7.791], [-2.669, 1.541, 7.791], [0.000, -3.082, 7.791]],
  "species": ["Y", "Y", "Y", "Mg", "Mg", "Mg", "Mg"],
  "fractional_positions": [[0.000, 0.000, 0.000], [0.286, 0.286, 0.286], [0.714, 0.714, 0.714], [0.139, 0.139, 0.139], [0.429, 0.429, 0.429], [0.571, 0.571, 0.571], [0.861, 0.861, 0.861]]
}

{
  "formula": "Y2Mg17",
  "functional": "GGA-PBE",
  "state": "optimized geometry",
  "delta_e_f_ev_per_fu": -0.42,
  "density_g_cm3": 2.1,
  "lattice_angstrom": [[5.106, 2.948, 5.073], [-5.106, 2.948, 5.073], [0.000, -5.896, 5.073]],
  "species": ["Y", "Y", "Mg", "Mg", "Mg", "Mg", "Mg", "Mg", "Mg", "Mg", "Mg", "Mg", "Mg", "Mg", "Mg", "Mg", "Mg", "Mg", "Mg"],
  "fractional_positions": [[0.172, 0.172, 0.172], [0.828, 0.828, 0.828], [0.000, 0.500, 0.500], [0.147, 0.147, 0.660], [0.147, 0.660, 0.147], [0.196, 0.500, 0.804], [0.196, 0.804, 0.500], [0.340, 0.853, 0.853], [0.401, 0.401, 0.401], [0.500, 0.000, 0.500], [0.500, 0.196, 0.804], [0.500, 0.500, 0.000], [0.500, 0.804, 0.196], [0.599, 0.599, 0.599], [0.660, 0.147, 0.147], [0.804, 0.196, 0.500], [0.804, 0.500, 0.196], [0.853, 0.340, 0.853], [0.853, 0.853, 0.340]]
}

{
  "formula": "YMg",
  "functional": "GGA-PBE",
  "state": "optimized geometry",
  "delta_e_f_ev_per_fu": 2.43,
  "density_g_cm3": 2.2,
  "lattice_angstrom": [[0.000, 3.522, 3.522], [3.522, 0.000, 3.522], [3.522, 3.522, 0.000]],
  "species": ["Y", "Mg"],
  "fractional_positions": [[0.000, 0.000, 0.000], [0.750, 0.750, 0.750]]
}

{
  "formula": "YMg",
  "functional": "GGA-PBE",
  "state": "optimized geometry",
  "delta_e_f_ev_per_fu": -0.04,
  "density_g_cm3": 3.4,
  "lattice_angstrom": [[6.306, 0.000, 0.000], [0.000, 5.318, 0.000], [0.000, 0.000, 6.653]],
  "species": ["Y", "Y", "Y", "Y", "Mg", "Mg", "Mg", "Mg"],
  "fractional_positions": [[0.130, 0.250, 0.130], [0.370, 0.750, 0.630], [0.630, 0.250, 0.370], [0.870, 0.750, 0.870], [0.079, 0.250, 0.627], [0.421, 0.750, 0.127], [0.579, 0.250, 0.873], [0.921, 0.750, 0.373]]
}